# K3Ag3As2 GGA-PBEsol optimized geometry
# Symmetry = R-3m, No. 166
# Total magnetization = 0.00 μB/cell
# E_tot = -26.2 eV for the cell shown
data_K3Ag3As2
_chemical_formula_sum 'K3 Ag3 As2'
_space_group_name_H-M_alt 'P 1'
_space_group_IT_number 1
_space_group_name_Hall 'P 1'
_cell_length_a 7.830
_cell_length_b 7.830
_cell_length_c 7.830
_cell_angle_alpha 44.26
_cell_angle_beta 44.26
_cell_angle_gamma 44.26
loop_
_atom_site_label
_atom_site_type_symbol
_atom_site_fract_x
_atom_site_fract_y
_atom_site_fract_z
K1 K 0.000 0.000 0.000
K2 K 0.409 0.409 0.409
K3 K 0.591 0.591 0.591
Ag1 Ag 0.000 0.000 0.500
Ag2 Ag 0.000 0.500 0.000
Ag3 Ag 0.500 0.000 0.000
As1 As 0.255 0.255 0.255
As2 As 0.745 0.745 0.745